# 1
A relaxed Fe2NiMoN crystal. Source: Alexandria, functional PBE-GGA.

## Properties
energy relative to the elements, uncorrected	0.018	eV/atom

Cell lengths 3.707, 3.707, 4.028 Å; angles 90.00, 90.00, 90.00 degrees
Sites, in units of the cell vectors:
N 0.000 0.000 0.000
Ni 0.500 0.500 0.500
Mo 0.000 0.000 0.500
Fe 0.000 0.500 0.000
Fe 0.500 0.000 0.000

=====

# 2
A relaxed KBeAg2Pt crystal. Source: Alexandria, functional PBE-GGA.

## Properties
ΔH_f (0 K)	0.0945	eV per atom

Cell lengths 4.782, 4.782, 4.356 Å; angles 90.00, 90.00, 90.00 degrees
Sites, in units of the cell vectors:
Be 0.000 0.000 0.000
K 0.500 0.500 0.500
Pt 0.000 0.000 0.500
Ag 0.500 0.000 0.000
Ag 0.000 0.500 0.000

=====

# 3
A relaxed TlPtI2O crystal. Source: Alexandria, functional PBE-GGA.

## Properties
offset from the most stable computed form	0.892	eV/atom
energy relative to the elements, uncorrected	0.657	eV/atom

Cell lengths 6.039, 6.039, 3.999 Å; angles 90.00, 90.00, 90.00 degrees
Each line ends with the local moment (μB).
Sites, in units of the cell vectors:
O 0.000 0.000 0.500  0.00
I 0.000 0.500 0.000  0.12
I 0.500 0.000 0.000  0.12
Tl 0.000 0.000 0.000  0.00
Pt 0.500 0.500 0.500  0.68

=====

Repeat the third record exactly.
A relaxed TlPtI2O crystal. Source: Alexandria, functional PBE-GGA.

## Properties
offset from the most stable computed form	0.892	eV/atom
energy relative to the elements, uncorrected	0.657	eV/atom

Cell lengths 6.039, 6.039, 3.999 Å; angles 90.00, 90.00, 90.00 degrees
Each line ends with the local moment (μB).
Sites, in units of the cell vectors:
O 0.000 0.000 0.500  0.00
I 0.000 0.500 0.000  0.12
I 0.500 0.000 0.000  0.12
Tl 0.000 0.000 0.000  0.00
Pt 0.500 0.500 0.500  0.68